The following is a DFT calculation (PBE) of an optimized crystal structure of TmThPN.

a = 4.343 Å, b = 4.343 Å, c = 8.990 Å
α = 90.00°, β = 90.00°, γ = 90.00°
Fractional coordinates of all 8 atoms:
Tm: 0.000 0.000 0.500
Tm: 0.500 0.500 0.500
Th: 0.000 0.500 0.886
Th: 0.500 0.000 0.114
P: 0.500 0.000 0.683
P: 0.000 0.500 0.317
N: 0.500 0.500 0.000
N: 0.000 0.000 0.000

Output
Formation energy from raw total energies = -1.280 eV per atom
DFT total energy = -7.6864 eV per atom
D(E_F) = 3.4 states/eV per cell